Compound: Ac4CuOsI2
Source: the Alexandria database
Functional: PBE
Structure: relaxed

abc: 7.633 4.448 9.021
angles: 90.00 106.56 90.00
Space group P2/m (No. 10)
Asymmetric unit:
Ac1 0.218 0.000 0.186 [2 per cell]
Ac2 0.257 0.500 0.814 [2 per cell]
Cu1 0.500 0.000 0.000 [1 per cell]
Os1 0.000 0.500 0.000 [1 per cell]
I1 0.000 0.000 0.500 [1 per cell]
I2 0.500 0.500 0.500 [1 per cell]

## Properties
Calculated total energy ... -4.999 eV/atom
Energy relative to the elements, uncorrected ... -0.641 eV/atom
Total magnetization ... 0.00 μB per atom
N(E_F) ... 4.055 states/eV/cell

Compound: Ti4Sb2C
Source: the Alexandria database
Functional: PBE
Structure: relaxed

abc: 4.162 4.162 14.153
angles: 90.00 90.00 90.00
Space group I4/mmm (No. 139)
Asymmetric unit:
Ti1 0.000 0.000 0.150 [4 per cell]
Ti2 0.000 0.500 0.000 [4 per cell]
Sb1 0.000 0.000 0.351 [4 per cell]
C1 0.000 0.000 0.000 [2 per cell]

## Properties
Calculated total energy ... -7.575 eV/atom
Energy relative to the elements, uncorrected ... -0.568 eV/atom
Polymorph energy (0 for the lowest one) ... 0.132 eV/f.u.
Total magnetization ... 0.00 μB per atom
N(E_F) ... 13.391 states/eV/cell